Nd2Ga2Cu3 | Alexandria | PBE | optimized geometry; symmetry = C2/m (12); energy of formation = -2.56 eV/f.u.; relative energy among the computed polymorphs = 0.00 eV/f.u.
1.0
4.238 0.000 0.000
-2.119 4.976 -1.732
0.000 -0.509 6.606
Ga Nd Cu
2 2 3
direct
0.146 0.292 0.242 Ga
0.854 0.708 0.758 Ga
0.144 0.289 0.761 Nd
0.856 0.711 0.239 Nd
0.598 0.196 0.417 Cu
0.402 0.804 0.583 Cu
0.500 0.000 0.000 Cu

NdGa2CuNi2 | Alexandria | PBE | optimized geometry; symmetry = P4/mmm (123); energy of formation = -0.94 eV/f.u.
1.0
-0.789 4.366 -0.273
-4.237 -0.832 -1.055
-1.311 0.088 5.193
Cu Ni Ga Nd
1 2 2 1
direct
0.000 0.000 0.000 Cu
0.500 0.000 0.000 Ni
0.000 0.500 0.000 Ni
0.500 0.500 0.248 Ga
0.500 0.500 0.752 Ga
0.000 0.000 0.500 Nd

Nd2GaCu2Ni5 | Alexandria | PBE | optimized geometry; symmetry = P4/mbm (127); energy of formation = -2.10 eV/f.u.
1.0
3.663 0.000 0.000
0.000 9.167 0.000
0.000 0.000 9.167
Ni Ga Nd Cu
10 2 4 4
direct
0.500 0.500 0.000 Ni
0.500 0.057 0.797 Ni
0.500 0.703 0.443 Ni
0.500 0.557 0.703 Ni
0.500 0.797 0.943 Ni
0.500 0.000 0.500 Ni
0.500 0.297 0.557 Ni
0.500 0.443 0.297 Ni
0.500 0.943 0.203 Ni
0.500 0.203 0.057 Ni
0.000 0.000 0.000 Ga
0.000 0.500 0.500 Ga
0.000 0.319 0.819 Nd
0.000 0.819 0.681 Nd
0.000 0.681 0.181 Nd
0.000 0.181 0.319 Nd
0.000 0.883 0.383 Cu
0.000 0.383 0.117 Cu
0.000 0.117 0.617 Cu
0.000 0.617 0.883 Cu

- The highest energy of formation belongs to which entry?
  NdGa2CuNi2

- Among the records above, which one has the highest energy of formation?
  NdGa2CuNi2

- Which value of energy of formation does entry 2 give?
  -0.94 eV/f.u.